First-principles (PBE-GGA) data for crystalline BaInPd at its relaxed geometry, as listed in OQMD.

Calculated total energy, eV/atom: -3.66

Cell lengths 7.2570, 7.2570, 7.2570 Å; angles 90.00, 90.00, 90.00 degrees
Last column: nearest neighbours and their distance in Å.
Space group F-43m (No. 216)
One atom of each set of equivalent atoms:
Ba (0.0000, 0.0000, 0.0000)  4 Pd 3.14
In (0.0000, 0.0000, 0.5000)  4 Pd 3.14
Pd (0.2500, 0.2500, 0.2500)  4 Ba 3.14, 4 In 3.14